Entry 1:
This record from Alexandria describes crystalline YSnBr2 at its relaxed geometry. The functional is PBE-GGA.

Computed properties:
symmetry = No. 166
polymorph energy (0 for the lowest one) = 0.00 eV per formula unit
formation energy (no corrections) = -0.954 eV per atom

```
YSnBr2
1.0
1.8300 1.0566 10.6453
-1.8300 1.0566 10.6453
0.0000 -2.1131 10.6453
Y Sn Br
1 1 2
direct
0.0000 0.0000 0.0000
0.5000 0.5000 0.5000
0.3947 0.3947 0.3947
0.6053 0.6053 0.6053
```

Entry 2:
This record from Alexandria describes crystalline YSn2Br2 at its relaxed geometry. The functional is PBE-GGA.

Computed properties:
symmetry = No. 139
polymorph energy (0 for the lowest one) = 0.00 eV per formula unit
formation energy (no corrections) = -0.539 eV per atom

```
YSn2Br2
1.0
-1.9532 1.9532 11.7559
1.9532 -1.9532 11.7559
1.9532 1.9532 -11.7559
Y Sn Br
1 2 2
direct
0.0000 0.0000 0.0000
0.2500 0.7500 0.5000
0.7500 0.2500 0.5000
0.4299 0.4299 0.0000
0.5701 0.5701 0.0000
```

Entry 3:
This record from Alexandria describes crystalline YSn2Br at its relaxed geometry. The functional is PBE-GGA.

Computed properties:
symmetry = No. 225
polymorph energy (0 for the lowest one) = 0.91 eV per formula unit
formation energy (no corrections) = -0.087 eV per atom

```
YSn2Br
1.0
0.0000 3.8434 3.8434
3.8434 0.0000 3.8434
3.8434 3.8434 0.0000
Y Sn Br
1 2 1
direct
0.0000 0.0000 0.0000
0.2500 0.2500 0.2500
0.7500 0.7500 0.7500
0.5000 0.5000 0.5000
```

Entry 4:
This record from Alexandria describes crystalline YSn2Br at its relaxed geometry. The functional is PBE-GGA.

Computed properties:
symmetry = No. 122
polymorph energy (0 for the lowest one) = 0.00 eV per formula unit
formation energy (no corrections) = -0.314 eV per atom

```
YSn2Br
1.0
-5.1016 5.1016 2.6860
5.1016 -5.1016 2.6860
5.1016 5.1016 -2.6860
Y Sn Br
2 4 2
direct
0.0000 0.0000 0.0000
0.7500 0.2500 0.5000
0.0571 0.1250 0.4321
0.3750 0.9429 0.0679
0.6929 0.6250 0.5679
0.8750 0.3071 0.9321
0.2500 0.7500 0.5000
0.5000 0.5000 0.0000
```